No. 1
# Tb3Tl2Te | Alexandria via LeMat-Bulk | PBE-GGA | optimized geometry
# - spin magnetization (Bohr magnetons per cell) = 0.000
# - ΔE_f (raw) (eV/atom) = -0.59
data_Tb3Tl2Te
_space_group_name_H-M_alt 'I m m m'
_space_group_IT_number 71
_space_group_name_Hall '-I 2 2'
_cell_length_a 3.971
_cell_length_b 6.233
_cell_length_c 14.617
_cell_angle_alpha 90.00
_cell_angle_beta 90.00
_cell_angle_gamma 90.00
loop_
_atom_site_label
_atom_site_fract_x
_atom_site_fract_y
_atom_site_fract_z
Tb1 0.000 0.000 0.000
Tb2 0.000 0.000 0.339
Tl1 0.000 0.500 0.330
Te1 0.000 0.500 0.000

---

No. 2
# TbTlTe2 | Alexandria via LeMat-Bulk | PBE-GGA | optimized geometry
# - spin magnetization (Bohr magnetons per cell) = 0.000
# - ΔE_f (raw) (eV/atom) = -0.87
data_TbTlTe2
_space_group_name_H-M_alt 'P 4/m m m'
_space_group_IT_number 123
_space_group_name_Hall '-P 4 2'
_cell_length_a 3.880
_cell_length_b 3.880
_cell_length_c 8.350
_cell_angle_alpha 90.00
_cell_angle_beta 90.00
_cell_angle_gamma 90.00
loop_
_atom_site_label
_atom_site_fract_x
_atom_site_fract_y
_atom_site_fract_z
Tb1 0.000 0.000 0.000
Tl1 0.000 0.000 0.500
Te1 0.500 0.500 0.213

---

No. 3
# Tb5Tl2Te | Alexandria via LeMat-Bulk | PBE-GGA | optimized geometry
# - spin magnetization (Bohr magnetons per cell) = 0.000
# - energy above the most stable polymorph in this dataset (meV per atom) = 267
# - ΔE_f (raw) (eV/atom) = -0.25
data_Tb5Tl2Te
_space_group_name_H-M_alt 'C m c m'
_space_group_IT_number 63
_space_group_name_Hall '-C 2c 2'
_cell_length_a 6.070
_cell_length_b 12.886
_cell_length_c 12.914
_cell_angle_alpha 90.00
_cell_angle_beta 90.00
_cell_angle_gamma 90.00
loop_
_atom_site_label
_atom_site_fract_x
_atom_site_fract_y
_atom_site_fract_z
Tb1 0.000 0.063 0.106
Tb2 0.000 0.383 0.056
Tb3 0.000 0.397 0.750
Tl1 0.000 0.194 0.614
Te1 0.000 0.244 0.250

---

No. 4
# Tb8Tl2Te | Alexandria via LeMat-Bulk | PBE-GGA | optimized geometry
# - spin magnetization (Bohr magnetons per cell) = 0.004
# - ΔE_f (raw) (eV/atom) = -0.35
data_Tb8Tl2Te
_space_group_name_H-M_alt 'C 1 2/m 1'
_space_group_IT_number 12
_cell_length_a 18.189
_cell_length_b 5.314
_cell_length_c 6.819
_cell_angle_alpha 90.00
_cell_angle_beta 93.38
_cell_angle_gamma 90.00
loop_
_space_group_symop_operation_xyz
'x,y,z'
'-x,-y,-z'
'-x,y,-z'
'x,-y,z'
'x+1/2,y+1/2,z'
'-x+1/2,-y+1/2,-z'
'-x+1/2,y+1/2,-z'
'x+1/2,-y+1/2,z'
loop_
_atom_site_label
_atom_site_fract_x
_atom_site_fract_y
_atom_site_fract_z
Tb1 0.032 0.000 0.253
Tb2 0.092 0.500 0.926
Tb3 0.168 0.500 0.415
Tb4 0.211 0.000 0.108
Tl1 0.161 0.000 0.664
Te1 0.000 0.500 0.500

---

No. 5
# Tb2TlTe4 | Alexandria via LeMat-Bulk | PBE-GGA | optimized geometry
# - spin magnetization (Bohr magnetons per cell) = 0.000
# - ΔE_f (raw) (eV/atom) = -1.03
data_Tb2TlTe4
_space_group_name_H-M_alt 'I 41/a m d'
_space_group_IT_number 141
_cell_length_a 9.189
_cell_length_b 9.189
_cell_length_c 12.973
_cell_angle_alpha 90.00
_cell_angle_beta 90.00
_cell_angle_gamma 90.00
loop_
_space_group_symop_operation_xyz
'x,y,z'
'-x,-y,-z'
'-y+1/4,x+3/4,z+1/4'
'y+1/4,-x+3/4,-z+1/4'
'-x+1/2,-y,z+1/2'
'x+1/2,y,-z+1/2'
'y+1/4,-x+1/4,z+3/4'
'-y+1/4,x+1/4,-z+3/4'
'x,-y,-z'
'-x,y,z'
'-y+1/4,-x+1/4,-z+3/4'
'y+1/4,x+1/4,z+3/4'
'-x+1/2,y,-z+1/2'
'x+1/2,-y,z+1/2'
'y+1/4,x+3/4,-z+1/4'
'-y+1/4,-x+3/4,z+1/4'
'x+1/2,y+1/2,z+1/2'
'-x+1/2,-y+1/2,-z+1/2'
'-y+3/4,x+1/4,z+3/4'
'y+3/4,-x+1/4,-z+3/4'
'-x,-y+1/2,z'
'x,y+1/2,-z'
'y+3/4,-x+3/4,z+1/4'
'-y+3/4,x+3/4,-z+1/4'
'x+1/2,-y+1/2,-z+1/2'
'-x+1/2,y+1/2,z+1/2'
'-y+3/4,-x+3/4,-z+1/4'
'y+3/4,x+3/4,z+1/4'
'-x,y+1/2,-z'
'x,-y+1/2,z'
'y+3/4,x+1/4,-z+3/4'
'-y+3/4,-x+1/4,z+3/4'
loop_
_atom_site_label
_atom_site_fract_x
_atom_site_fract_y
_atom_site_fract_z
Tb1 0.000 0.000 0.000
Tl1 0.000 0.250 0.375
Te1 0.000 0.023 0.761

---

No. 6
# Tb3TlTe4 | Alexandria via LeMat-Bulk | PBE-GGA | optimized geometry
# - spin magnetization (Bohr magnetons per cell) = 0.000
# - ΔE_f (raw) (eV/atom) = -1.18
data_Tb3TlTe4
_space_group_name_H-M_alt 'P 63/m m c'
_space_group_IT_number 194
_space_group_name_Hall '-P 6c 2c'
_cell_length_a 4.3980
_cell_length_b 4.3980
_cell_length_c 30.9256
_cell_angle_alpha 90.00
_cell_angle_beta 90.00
_cell_angle_gamma 120.00
loop_
_atom_site_label
_atom_site_fract_x
_atom_site_fract_y
_atom_site_fract_z
Tb1 0.0000 0.0000 0.0000
Tb2 0.3333 0.6667 0.1151
Tl1 0.3333 0.6667 0.7500
Te1 0.0000 0.0000 0.1724
Te2 0.3333 0.6667 0.5574

---

No. 7
# TbTl3Te3 | Alexandria via LeMat-Bulk | PBE-GGA | optimized geometry
# - spin magnetization (Bohr magnetons per cell) = 0.000
# - ΔE_f (raw) (eV/atom) = -0.72
data_TbTl3Te3
_space_group_name_H-M_alt 'P 1 21/m 1'
_space_group_IT_number 11
_cell_length_a 9.548
_cell_length_b 4.522
_cell_length_c 13.144
_cell_angle_alpha 90.00
_cell_angle_beta 90.26
_cell_angle_gamma 90.00
loop_
_space_group_symop_operation_xyz
'x,y,z'
'-x,-y,-z'
'-x,y+1/2,-z'
'x,-y+1/2,z'
loop_
_atom_site_label
_atom_site_fract_x
_atom_site_fract_y
_atom_site_fract_z
Tb1 0.120 0.250 0.122
Tl1 0.129 0.250 0.628
Tl2 0.353 0.750 0.362
Tl3 0.377 0.750 0.871
Te1 0.105 0.250 0.884
Te2 0.113 0.250 0.358
Te3 0.345 0.750 0.117

---

No. 8
# Tb5Tl2Te | Alexandria via LeMat-Bulk | PBE-GGA | optimized geometry
# - spin magnetization (Bohr magnetons per cell) = 0.000
# - energy above the most stable polymorph in this dataset (meV per atom) = 0
# - ΔE_f (raw) (eV/atom) = -0.51
data_Tb5Tl2Te
_space_group_name_H-M_alt 'P b a m'
_space_group_IT_number 55
_cell_length_a 8.475
_cell_length_b 12.393
_cell_length_c 4.559
_cell_angle_alpha 90.00
_cell_angle_beta 90.00
_cell_angle_gamma 90.00
loop_
_space_group_symop_operation_xyz
'x,y,z'
'-x,-y,-z'
'-x,-y,z'
'x,y,-z'
'x+1/2,-y+1/2,-z'
'-x+1/2,y+1/2,z'
'-x+1/2,y+1/2,-z'
'x+1/2,-y+1/2,z'
loop_
_atom_site_label
_atom_site_fract_x
_atom_site_fract_y
_atom_site_fract_z
Tb1 0.000 0.000 0.000
Tb2 0.161 0.282 0.000
Tb3 0.211 0.576 0.500
Tl1 0.073 0.823 0.500
Te1 0.000 0.500 0.000

---

What did the sixth record say?
# Tb3TlTe4 | Alexandria via LeMat-Bulk | PBE-GGA | optimized geometry
# - spin magnetization (Bohr magnetons per cell) = 0.000
# - ΔE_f (raw) (eV/atom) = -1.18
data_Tb3TlTe4
_space_group_name_H-M_alt 'P 63/m m c'
_space_group_IT_number 194
_space_group_name_Hall '-P 6c 2c'
_cell_length_a 4.3980
_cell_length_b 4.3980
_cell_length_c 30.9256
_cell_angle_alpha 90.00
_cell_angle_beta 90.00
_cell_angle_gamma 120.00
loop_
_atom_site_label
_atom_site_fract_x
_atom_site_fract_y
_atom_site_fract_z
Tb1 0.0000 0.0000 0.0000
Tb2 0.3333 0.6667 0.1151
Tl1 0.3333 0.6667 0.7500
Te1 0.0000 0.0000 0.1724
Te2 0.3333 0.6667 0.5574